[1]
## TbPuCo (PBE-GGA)

Data for a relaxed structure of TbPuCo.

a = 5.791 Å, b = 6.875 Å, c = 7.028 Å
α = 107.13°, β = 90.00°, γ = 90.00°
Element x y z (fractional)
Tb  0.860  0.360  0.139
Tb  0.360  0.640  0.361
Tb  0.140  0.640  0.861
Tb  0.640  0.360  0.639
Pu  0.833  0.912  0.307
Pu  0.333  0.088  0.193
Pu  0.167  0.088  0.693
Pu  0.667  0.912  0.807
Co  0.120  0.339  0.490
Co  0.620  0.661  0.010
Co  0.880  0.661  0.510
Co  0.380  0.339  0.990

Output
Space group: P2_1/c (14)
E_form (meV per atom): -88
Calculated volume (Å³ per atom): 22.28
ΔE to the lowest computed polymorph (meV/atom): 0



[2]
## Tb3PuCo (PBE-GGA)

Data for a relaxed structure of Tb3PuCo.

a = 5.278 Å, b = 5.278 Å, c = 5.278 Å
α = 90.00°, β = 90.00°, γ = 90.00°
Element x y z (fractional)
Co  0.000  0.000  0.000
Tb  0.000  0.500  0.000
Tb  0.000  0.000  0.500
Tb  0.500  0.000  0.000
Pu  0.500  0.500  0.500

Output
Space group: Pm-3m (221)
E_form (meV per atom): 113
Calculated volume (Å³ per atom): 29.40



[3]
## Tb4PuCo5 (PBE-GGA)

Data for a relaxed structure of Tb4PuCo5.

a = 4.716 Å, b = 6.853 Å, c = 6.853 Å
α = 83.20°, β = 69.87°, γ = 69.87°
Element x y z (fractional)
Tb  0.770  0.713  0.713
Tb  0.482  0.287  0.713
Tb  0.483  0.713  0.287
Tb  0.195  0.287  0.287
Pu  0.093  0.000  0.000
Co  0.149  0.632  0.000
Co  0.149  0.000  0.632
Co  0.782  0.000  0.368
Co  0.782  0.368  0.000
Co  0.604  0.000  0.000

Output
Space group: I4mm (107)
E_form (meV per atom): 8
Calculated volume (Å³ per atom): 19.53



[4]
## Tb2PuCo2 (PBE-GGA)

Data for a relaxed structure of Tb2PuCo2.

a = 5.874 Å, b = 5.832 Å, c = 7.250 Å
α = 99.24°, β = 90.00°, γ = 120.24°
Element x y z (fractional)
Tb  0.533  0.302  0.148
Tb  0.231  0.698  0.352
Tb  0.467  0.698  0.852
Tb  0.769  0.302  0.648
Pu  0.904  0.000  0.250
Pu  0.096  0.000  0.750
Co  0.705  0.700  0.490
Co  0.005  0.300  0.010
Co  0.295  0.300  0.510
Co  0.995  0.700  0.990

Output
Space group: C2/c (15)
E_form (meV per atom): -170
Calculated volume (Å³ per atom): 21.08



[5]
## TbPuCo (PBE-GGA)

Data for a relaxed structure of TbPuCo.

a = 3.356 Å, b = 3.356 Å, c = 6.475 Å
α = 105.02°, β = 105.02°, γ = 90.00°
Element x y z (fractional)
Tb  0.031  0.031  0.062
Co  0.671  0.671  0.341
Pu  0.298  0.298  0.597

Output
Space group: I4mm (107)
E_form (meV per atom): 48
Calculated volume (Å³ per atom): 22.61
ΔE to the lowest computed polymorph (meV/atom): 135



[6]
## Tb2PuCo (PBE-GGA)

Data for a relaxed structure of Tb2PuCo.

a = 3.377 Å, b = 3.377 Å, c = 8.675 Å
α = 90.00°, β = 90.00°, γ = 90.00°
Element x y z (fractional)
Co  0.500  0.500  0.000
Tb  0.000  0.000  0.810
Tb  0.000  0.000  0.190
Pu  0.500  0.500  0.500

Output
Space group: P4/mmm (123)
E_form (meV per atom): 20
Calculated volume (Å³ per atom): 24.74
ΔE to the lowest computed polymorph (meV/atom): 0



Question: Among the records above, which one has the lowest E_form?
Answer: Tb2PuCo2



Question: Which value of E_form does entry 5 give?
Answer: 48 meV per atom